(1)
Density functional theory data (PBE-GGA) for an optimized crystal structure of LuHfHg2.

abc: 5.0413 5.0413 5.0413
angles: 60.00 60.00 60.00
Element x y z (fractional)
Lu  0.0000  0.0000  0.0000
Hf  0.5000  0.5000  0.5000
Hg  0.2500  0.2500  0.2500
Hg  0.7500  0.7500  0.7500

(2)
Density functional theory data (PBE-GGA) for an optimized crystal structure of LuHfHg2.

abc: 3.5587 3.5587 7.1374
angles: 90.00 90.00 90.00
Element x y z (fractional)
Lu  0.5000  0.5000  0.5000
Hf  0.5000  0.5000  0.0000
Hg  0.0000  0.0000  0.7584
Hg  0.0000  0.0000  0.2416

Of them, the most stable is (2) and the least stable is (1).

(1)
Density functional theory data (PBE-GGA) for an optimized crystal structure of Lu2HfHg.

abc: 4.5216 4.6304 4.6304
angles: 90.00 90.00 90.00
Element x y z (fractional)
Lu  0.0000  0.0000  0.5000
Lu  0.0000  0.5000  0.0000
Hf  0.5000  0.5000  0.5000
Hg  0.5000  0.0000  0.0000

(2)
Density functional theory data (PBE-GGA) for an optimized crystal structure of Lu2HfHg.

abc: 3.3907 3.3907 8.6271
angles: 90.00 90.00 90.00
Element x y z (fractional)
Lu  0.0000  0.0000  0.7576
Lu  0.0000  0.0000  0.2424
Hf  0.5000  0.5000  0.5000
Hg  0.5000  0.5000  0.0000

Of them, the most stable is (2) and the least stable is (1).

(1)
Density functional theory data (PBE-GGA) for an optimized crystal structure of Hf2MgHg2.

abc: 7.1930 7.1930 4.2121
angles: 90.00 90.00 90.00
Element x y z (fractional)
Mg  0.0000  0.0000  0.0000
Mg  0.5000  0.5000  0.0000
Hf  0.1629  0.6629  0.5000
Hf  0.6629  0.8371  0.5000
Hf  0.8371  0.3371  0.5000
Hf  0.3371  0.1629  0.5000
Hg  0.3578  0.8578  0.0000
Hg  0.8578  0.6422  0.0000
Hg  0.6422  0.1422  0.0000
Hg  0.1422  0.3578  0.0000

(2)
Density functional theory data (PBE-GGA) for an optimized crystal structure of Hf2MgHg2.

abc: 8.5065 8.5065 3.1888
angles: 90.00 90.00 90.00
Element x y z (fractional)
Mg  0.0000  0.0000  0.0000
Mg  0.5000  0.5000  0.0000
Hf  0.3756  0.8756  0.0000
Hf  0.8756  0.6244  0.0000
Hf  0.6244  0.1244  0.0000
Hf  0.1244  0.3756  0.0000
Hg  0.1736  0.6736  0.5000
Hg  0.6736  0.8264  0.5000
Hg  0.8264  0.3264  0.5000
Hg  0.3264  0.1736  0.5000

Of them, the most stable is (1) and the least stable is (2).

(1)
Density functional theory data (PBE-GGA) for an optimized crystal structure of HfMg3Hg.

abc: 5.7878 5.7878 5.7878
angles: 90.00 90.00 90.00
Element x y z (fractional)
Mg  0.0000  0.5000  0.0000
Mg  0.0000  0.0000  0.5000
Mg  0.5000  0.0000  0.0000
Hf  0.0000  0.0000  0.0000
Hg  0.5000  0.5000  0.5000

(2)
Density functional theory data (PBE-GGA) for an optimized crystal structure of HfMg3Hg.

abc: 5.0752 5.0752 5.0752
angles: 90.00 90.00 90.00
Element x y z (fractional)
Mg  0.0000  0.5000  0.0000
Mg  0.0000  0.0000  0.5000
Mg  0.5000  0.0000  0.0000
Hf  0.5000  0.5000  0.5000
Hg  0.0000  0.0000  0.0000

Of them, the most stable is (2) and the least stable is (1).

(1)
Density functional theory data (PBE-GGA) for an optimized crystal structure of Hf6MnHg2.

abc: 4.7338 6.4951 7.8952
angles: 114.29 107.45 90.00
Element x y z (fractional)
Hf  0.1501  0.3899  0.3000
Hf  0.8499  0.0900  0.7000
Hf  0.8499  0.6101  0.7000
Hf  0.5000  0.2268  0.0000
Hf  0.1501  0.9100  0.3000
Hf  0.5000  0.7732  0.0000
Mn  0.0000  0.0000  0.0000
Hg  0.6711  0.6711  0.3421
Hg  0.3289  0.3289  0.6579

(2)
Density functional theory data (PBE-GGA) for an optimized crystal structure of Hf6MnHg2.

abc: 3.3577 8.0137 8.0113
angles: 120.01 90.00 90.00
Element x y z (fractional)
Hf  0.5000  0.6247  0.0000
Hf  0.5000  0.3751  0.3752
Hf  0.5000  0.0000  0.6248
Hf  0.0000  0.2440  0.0000
Hf  0.0000  0.7562  0.7563
Hf  0.0000  0.9998  0.2437
Mn  0.5000  0.0003  0.0000
Hg  0.0000  0.3332  0.6665
Hg  0.0000  0.6667  0.3335

Of them, the most stable is (2) and the least stable is (1).

(1)
Density functional theory data (PBE-GGA) for an optimized crystal structure of HfHgMo3.

abc: 4.8989 4.8989 4.8989
angles: 90.00 90.00 90.00
Element x y z (fractional)
Mo  0.0000  0.5000  0.0000
Mo  0.0000  0.0000  0.5000
Mo  0.5000  0.0000  0.0000
Hf  0.5000  0.5000  0.5000
Hg  0.0000  0.0000  0.0000

(2)
Density functional theory data (PBE-GGA) for an optimized crystal structure of HfHgMo3.

abc: 4.8031 4.8031 4.8031
angles: 90.00 90.00 90.00
Element x y z (fractional)
Mo  0.0000  0.5000  0.0000
Mo  0.0000  0.0000  0.5000
Mo  0.5000  0.0000  0.0000
Hf  0.0000  0.0000  0.0000
Hg  0.5000  0.5000  0.5000

Of them, the most stable is (2) and the least stable is (1).

(1)
Density functional theory data (PBE-GGA) for an optimized crystal structure of Hf2HgN.

abc: 3.2123 3.2123 8.6318
angles: 79.28 79.28 60.00
Element x y z (fractional)
Hf  0.1168  0.1168  0.6495
Hf  0.8832  0.8832  0.3505
Hg  0.0000  0.0000  0.0000
N  0.5000  0.5000  0.5000

(2)
Density functional theory data (PBE-GGA) for an optimized crystal structure of Hf2HgN.

abc: 3.2771 3.2771 7.4837
angles: 77.35 77.35 60.00
Element x y z (fractional)
Hf  0.0553  0.0553  0.8341
Hf  0.2769  0.2769  0.1692
Hg  0.4994  0.4994  0.5017
N  0.6684  0.6684  0.9949

(3)
Density functional theory data (PBE-GGA) for an optimized crystal structure of Hf2HgN.

abc: 5.7625 5.7625 6.5062
angles: 63.71 63.71 90.00
Element x y z (fractional)
Hf  0.5145  0.1250  0.2500
Hf  0.2355  0.6250  0.2500
Hf  0.3750  0.4855  0.7500
Hf  0.8750  0.7645  0.7500
Hg  0.0000  0.0000  0.0000
Hg  0.7500  0.2500  0.5000
N  0.5000  0.5000  0.0000
N  0.2500  0.7500  0.5000

(4)
Density functional theory data (PBE-GGA) for an optimized crystal structure of Hf2HgN.

abc: 3.2452 6.0612 7.8271
angles: 77.62 90.00 74.49
Element x y z (fractional)
Hf  0.6713  0.6673  0.1531
Hf  0.7682  0.4743  0.7358
Hf  0.0652  0.8799  0.4658
Hf  0.4122  0.1861  0.1042
Hg  0.5114  0.9868  0.7764
Hg  0.3309  0.3489  0.4366
N  0.0508  0.9087  0.1887
N  0.7979  0.4148  0.0033

Of them, the most stable is (2) and the least stable is (3).

(1)
Density functional theory data (PBE-GGA) for an optimized crystal structure of Hf2HgN.

abc: 3.2882 3.2882 7.4314
angles: 77.24 77.24 59.99
Element x y z (fractional)
Hf  0.2778  0.2778  0.1674
Hf  0.7222  0.7222  0.8326
Hg  0.5000  0.5000  0.5000
N  0.0000  0.0000  0.0000

(2)
Density functional theory data (PBE-GGA) for an optimized crystal structure of Hf2HgN.

abc: 4.6164 4.6164 4.6164
angles: 60.00 60.00 60.00
Element x y z (fractional)
Hf  0.2500  0.2500  0.2500
Hf  0.7500  0.7500  0.7500
Hg  0.5000  0.5000  0.5000
N  0.0000  0.0000  0.0000

Of them, the most stable is (1) and the least stable is (2).

(1)
Density functional theory data (PBE-GGA) for an optimized crystal structure of HfHg3N.

abc: 5.6839 5.6839 5.6839
angles: 90.00 90.00 90.00
Element x y z (fractional)
Hf  0.0000  0.0000  0.0000
Hg  0.0000  0.5000  0.0000
Hg  0.0000  0.0000  0.5000
Hg  0.5000  0.0000  0.0000
N  0.5000  0.5000  0.5000

(2)
Density functional theory data (PBE-GGA) for an optimized crystal structure of HfHg3N.

abc: 4.6950 4.6950 4.6950
angles: 90.00 90.00 90.00
Element x y z (fractional)
Hf  0.5000  0.5000  0.5000
Hg  0.0000  0.5000  0.0000
Hg  0.0000  0.0000  0.5000
Hg  0.5000  0.0000  0.0000
N  0.0000  0.0000  0.0000

Of them, the most stable is (2) and the least stable is (1).

(1)
Density functional theory data (PBE-GGA) for an optimized crystal structure of HfHgSN2.

abc: 4.1293 4.1293 4.8377
angles: 90.00 90.00 90.00
Element x y z (fractional)
S  0.0000  0.0000  0.5000
Hf  0.5000  0.5000  0.5000
Hg  0.0000  0.0000  0.0000
N  0.0000  0.5000  0.0000
N  0.5000  0.0000  0.0000

(2)
Density functional theory data (PBE-GGA) for an optimized crystal structure of HfHgSN2.

abc: 4.0801 4.0801 5.4825
angles: 90.00 90.00 90.00
Element x y z (fractional)
S  0.0000  0.0000  0.5000
Hf  0.0000  0.0000  0.0000
Hg  0.5000  0.5000  0.5000
N  0.0000  0.5000  0.0000
N  0.5000  0.0000  0.0000

Of them, the most stable is (2) and the least stable is (1).

(1)
Density functional theory data (PBE-GGA) for an optimized crystal structure of HfSc2HgN.

abc: 5.5079 4.0574 5.5079
angles: 90.00 90.00 90.00
Element x y z (fractional)
Sc  0.0000  0.0000  0.5000
Sc  0.5000  0.0000  0.0000
Hf  0.0000  0.0000  0.0000
Hg  0.5000  0.5000  0.5000
N  0.0000  0.5000  0.0000

(2)
Density functional theory data (PBE-GGA) for an optimized crystal structure of HfSc2HgN.

abc: 4.4330 4.4330 4.4281
angles: 90.00 90.00 90.00
Element x y z (fractional)
Sc  0.0000  0.5000  0.0000
Sc  0.5000  0.0000  0.0000
Hf  0.0000  0.0000  0.5000
Hg  0.5000  0.5000  0.5000
N  0.0000  0.0000  0.0000

Of them, the most stable is (2) and the least stable is (1).

(1)
Density functional theory data (PBE-GGA) for an optimized crystal structure of HfHgSe2N.

abc: 5.3181 5.3181 4.1046
angles: 90.00 90.00 90.00
Element x y z (fractional)
Hf  0.0000  0.0000  0.0000
Hg  0.5000  0.5000  0.5000
Se  0.0000  0.5000  0.0000
Se  0.5000  0.0000  0.0000
N  0.0000  0.0000  0.5000

(2)
Density functional theory data (PBE-GGA) for an optimized crystal structure of HfHgSe2N.

abc: 5.2703 5.2703 4.0176
angles: 90.00 90.00 90.00
Element x y z (fractional)
Hf  0.5000  0.5000  0.5000
Hg  0.0000  0.0000  0.0000
Se  0.0000  0.5000  0.0000
Se  0.5000  0.0000  0.0000
N  0.0000  0.0000  0.5000

Of them, the most stable is (1) and the least stable is (2).

(1)
Density functional theory data (PBE-GGA) for an optimized crystal structure of HfHgTeN2.

abc: 4.1589 4.1589 6.1735
angles: 90.00 90.00 90.00
Element x y z (fractional)
Te  0.0000  0.0000  0.5000
Hf  0.0000  0.0000  0.0000
Hg  0.5000  0.5000  0.5000
N  0.0000  0.5000  0.0000
N  0.5000  0.0000  0.0000

(2)
Density functional theory data (PBE-GGA) for an optimized crystal structure of HfHgTeN2.

abc: 4.2333 4.2333 5.8269
angles: 90.00 90.00 90.00
Element x y z (fractional)
Te  0.0000  0.0000  0.5000
Hf  0.5000  0.5000  0.5000
Hg  0.0000  0.0000  0.0000
N  0.0000  0.5000  0.0000
N  0.5000  0.0000  0.0000

Of them, the most stable is (1) and the least stable is (2).